Record 1
DFT (PBE) results for TcTe2I after structural relaxation.

Unit cell a=5.183 b=5.183 c=5.183 alpha=60.00 beta=60.00 gamma=60.00
Each line ends with the local moment (μB).
Fractional coordinates of all 4 atoms:
Te1 0.250 0.250 0.250  -0.11
Te2 0.750 0.750 0.750  -0.11
I1 0.500 0.500 0.500  0.04
Tc1 0.000 0.000 0.000  1.75

---

Record 2
DFT (PBE) results for TcTeI2 after structural relaxation.

Unit cell a=5.410 b=5.410 c=5.410 alpha=60.00 beta=60.00 gamma=60.00
Each line ends with the local moment (μB).
Fractional coordinates of all 4 atoms:
I1 0.750 0.750 0.750  -0.06
I2 0.250 0.250 0.250  -0.06
Tc1 0.000 0.000 0.000  3.27
Te1 0.500 0.500 0.500  -0.37

---

Record 3
DFT (PBE) results for TcTe2I after structural relaxation.

Unit cell a=9.026 b=9.026 c=9.026 alpha=25.99 beta=25.99 gamma=25.99
Fractional coordinates of all 4 atoms:
Te1 0.885 0.885 0.885
I1 0.000 0.000 0.000
Te2 0.115 0.115 0.115
Tc1 0.500 0.500 0.500

---

Record 4
DFT (PBE) results for TcTeWI2 after structural relaxation.

Unit cell a=5.619 b=5.619 c=5.261 alpha=90.00 beta=90.00 gamma=90.00
Each line ends with the local moment (μB).
Fractional coordinates of all 5 atoms:
I1 0.000 0.500 0.000  0.09
W1 0.000 0.000 0.000  1.45
Tc1 0.500 0.500 0.500  3.94
I2 0.500 0.000 0.000  0.09
Te1 0.000 0.000 0.500  -0.02

---

Record 5
DFT (PBE) results for YTcTeI2 after structural relaxation.

Unit cell a=5.326 b=5.326 c=5.398 alpha=90.00 beta=90.00 gamma=90.00
Each line ends with the local moment (μB).
Fractional coordinates of all 5 atoms:
Te1 0.000 0.000 0.500  0.03
Tc1 0.000 0.000 0.000  1.05
I1 0.500 0.000 0.000  0.01
Y1 0.500 0.500 0.500  -0.06
I2 0.000 0.500 0.000  0.01

---

Record 6
DFT (PBE) results for YTcTeI2 after structural relaxation.

Unit cell a=6.218 b=4.943 c=6.218 alpha=90.00 beta=90.00 gamma=90.00
Each line ends with the local moment (μB).
Fractional coordinates of all 5 atoms:
Te1 0.000 0.000 0.000  -0.05
Y1 0.500 0.500 0.500  -0.61
I1 0.000 0.000 0.500  0.01
Tc1 0.000 0.500 0.000  2.00
I2 0.500 0.000 0.000  0.03

---

Record 7
DFT (PBE) results for ZnTcTe2I after structural relaxation.

Unit cell a=5.279 b=5.279 c=5.601 alpha=90.00 beta=90.00 gamma=90.00
Each line ends with the local moment (μB).
Fractional coordinates of all 5 atoms:
Zn1 0.000 0.000 0.000  -0.01
Te1 0.000 0.500 0.000  0.01
Te2 0.500 0.000 0.000  0.01
Tc1 0.500 0.500 0.500  3.89
I1 0.000 0.000 0.500  0.07

---

Record 8
DFT (PBE) results for ZnTcTe2I after structural relaxation.

Unit cell a=5.152 b=5.152 c=5.849 alpha=90.00 beta=90.00 gamma=90.00
Fractional coordinates of all 5 atoms:
Te1 0.500 0.000 0.000
Tc1 0.000 0.000 0.000
Zn1 0.500 0.500 0.500
I1 0.000 0.000 0.500
Te2 0.000 0.500 0.000

---

Record 9
DFT (PBE) results for ZnTcTeI2 after structural relaxation.

Unit cell a=5.656 b=5.656 c=5.089 alpha=90.00 beta=90.00 gamma=90.00
Each line ends with the local moment (μB).
Fractional coordinates of all 5 atoms:
Te1 0.000 0.000 0.500  -0.05
I1 0.500 0.000 0.000  0.03
Zn1 0.500 0.500 0.500  -0.03
I2 0.000 0.500 0.000  0.03
Tc1 0.000 0.000 0.000  0.83

---

Record 10
DFT (PBE) results for ZnTcTeI2 after structural relaxation.

Unit cell a=5.432 b=5.432 c=5.567 alpha=90.00 beta=90.00 gamma=90.00
Each line ends with the local moment (μB).
Fractional coordinates of all 5 atoms:
I1 0.000 0.500 0.000  0.07
Tc1 0.500 0.500 0.500  4.00
I2 0.500 0.000 0.000  0.07
Zn1 0.000 0.000 0.000  0.00
Te1 0.000 0.000 0.500  0.03

---

Record 11
DFT (PBE) results for ZrTcTeI2 after structural relaxation.

Unit cell a=5.763 b=5.763 c=5.621 alpha=90.00 beta=90.00 gamma=90.00
Each line ends with the local moment (μB).
Fractional coordinates of all 5 atoms:
I1 0.500 0.000 0.000  0.04
Zr1 0.000 0.000 0.000  0.18
Tc1 0.500 0.500 0.500  4.08
I2 0.000 0.500 0.000  0.04
Te1 0.000 0.000 0.500  0.02

---

Record 12
DFT (PBE) results for Th2TcI after structural relaxation.

Unit cell a=4.185 b=4.185 c=8.617 alpha=90.00 beta=104.06 gamma=119.99
Fractional coordinates of all 4 atoms:
Th1 0.474 0.979 0.228
Th2 0.572 0.528 0.875
I1 0.023 0.752 0.551
Tc1 0.023 0.253 0.052

---

| no. | uncorrected formation energy (eV per formula unit) | polymorph energy (0 for the lowest one) (eV/atom) | Fermi-level density of states (states/eV/cell) |
| --- | --- | --- | --- |
| 1 | 3.59 | 0.826 | 3.5 |
| 2 | 4.22 | 0.290 | 2.5 |
| 3 | 0.29 | 0.000 | 4.2 |
| 4 | 7.23 | 0.000 | 4.9 |
| 5 | 0.99 | 0.000 | 5.6 |
| 6 | 4.33 | 0.669 | 3.5 |
| 7 | 5.00 | 0.527 | 3.4 |
| 8 | 2.36 | 0.000 | 5.2 |
| 9 | 2.26 | 0.000 | 4.2 |
| 10 | 4.46 | 0.440 | 2.7 |
| 11 | 3.20 | 0.000 | 5.1 |
| 12 | -2.05 | 0.000 | 0.9 |